# 1
# PBE CeNdRu, optimized geometry
# Theoretical density ... 7.8 g/cm³
# Energy relative to the elements ... -0.1398 eV/atom
# Energy relative to the lowest polymorph listed for this composition ... 30 kJ/mol of formula units
data_CeNdRu
_cell_length_a 4.3302
_cell_length_b 4.3302
_cell_length_c 5.0327
_cell_angle_alpha 90.00
_cell_angle_beta 90.00
_cell_angle_gamma 120.00
_space_group_name_H-M_alt 'P 3 m 1'
_space_group_IT_number 156
loop_
_space_group_symop_operation_xyz
'x,y,z'
'-y,x-y,z'
'-x+y,-x,z'
'-y,-x,z'
'-x+y,y,z'
'x,x-y,z'
loop_
_atom_site_label
_atom_site_type_symbol
_atom_site_fract_x
_atom_site_fract_y
_atom_site_fract_z
Ce1 Ce 0.0000 0.0000 0.0000
Nd1 Nd 0.6667 0.3333 0.5001
Ru1 Ru 0.3333 0.6667 0.0011


# 2
# PBE CeNdRu, optimized geometry
# Theoretical density ... 7.8 g/cm³
# Energy relative to the elements ... -0.1095 eV/atom
# Energy relative to the lowest polymorph listed for this composition ... 39 kJ/mol of formula units
data_CeNdRu
_cell_length_a 6.886
_cell_length_b 6.886
_cell_length_c 6.886
_cell_angle_alpha 90.00
_cell_angle_beta 90.00
_cell_angle_gamma 90.00
_space_group_name_H-M_alt 'F -4 3 m'
_space_group_IT_number 216
_space_group_name_Hall 'F -4 2 3'
loop_
_atom_site_label
_atom_site_type_symbol
_atom_site_fract_x
_atom_site_fract_y
_atom_site_fract_z
Ce1 Ce 0.000 0.000 0.000
Nd1 Nd 0.000 0.000 0.500
Ru1 Ru 0.250 0.250 0.750


# 3
# PBE Ce2Nd2Ru3, optimized geometry
# Theoretical density ... 8.6 g/cm³
# Energy relative to the elements ... -0.3403 eV/atom
# Energy relative to the lowest polymorph listed for this composition ... 0 kJ/mol of formula units
data_Ce2Nd2Ru3
_cell_length_a 4.100
_cell_length_b 6.163
_cell_length_c 7.341
_cell_angle_alpha 83.72
_cell_angle_beta 73.90
_cell_angle_gamma 70.59
_space_group_name_H-M_alt 'P -1'
_space_group_IT_number 2
loop_
_space_group_symop_operation_xyz
'x,y,z'
'-x,-y,-z'
loop_
_atom_site_label
_atom_site_type_symbol
_atom_site_fract_x
_atom_site_fract_y
_atom_site_fract_z
Ce1 Ce 0.193 0.213 0.400
Nd1 Nd 0.422 0.279 0.876
Ru1 Ru 0.172 0.835 0.820
Ru2 Ru 0.500 0.500 0.500


# 4
# PBE CeNd2Ru2, optimized geometry
# Theoretical density ... 8.6 g/cm³
# Energy relative to the elements ... -0.3123 eV/atom
# Energy relative to the lowest polymorph listed for this composition ... 0 kJ/mol of formula units
data_CeNd2Ru2
_cell_length_a 10.256
_cell_length_b 6.059
_cell_length_c 7.963
_cell_angle_alpha 90.00
_cell_angle_beta 100.33
_cell_angle_gamma 90.00
_space_group_name_H-M_alt 'C 1 2/c 1'
_space_group_IT_number 15
loop_
_space_group_symop_operation_xyz
'x,y,z'
'-x,-y,-z'
'-x,y,-z+1/2'
'x,-y,z+1/2'
'x+1/2,y+1/2,z'
'-x+1/2,-y+1/2,-z'
'-x+1/2,y+1/2,-z+1/2'
'x+1/2,-y+1/2,z+1/2'
loop_
_atom_site_label
_atom_site_type_symbol
_atom_site_fract_x
_atom_site_fract_y
_atom_site_fract_z
Ce1 Ce 0.000 0.123 0.250
Nd1 Nd 0.152 0.375 0.652
Ru1 Ru 0.131 0.132 0.014